Compound: ZnAsAu2
Source: the Alexandria database
Functional: GGA-PBE
Structure: optimized geometry

Properties
- ΔE_f (eV/atom) = 0.1380
- energy above the lowest structure with this stoichiometry (eV per atom) = 0.124
- N(E_F) (states/eV/cell) = 3.676

```
data_ZnAsAu2
_symmetry_space_group_name_H-M 'P 1'
_symmetry_Int_Tables_number 1
_symmetry_space_group_name_Hall 'P 1'
_cell_length_a 4.659
_cell_length_b 4.659
_cell_length_c 4.659
_cell_angle_alpha 60.00
_cell_angle_beta 60.00
_cell_angle_gamma 60.00
loop_
_atom_site_label
_atom_site_fract_x
_atom_site_fract_y
_atom_site_fract_z
Au1 0.250 0.250 0.250
Au2 0.750 0.750 0.750
As1 0.500 0.500 0.500
Zn1 0.000 0.000 0.000
```

Compound: Ti4Fe3Cu
Source: the Alexandria database
Functional: GGA-PBE
Structure: optimized geometry

Properties
- ΔE_f (eV/atom) = -0.3146
- N(E_F) (states/eV/cell) = 4.591

```
data_Ti4Fe3Cu
_symmetry_space_group_name_H-M 'P 1'
_symmetry_Int_Tables_number 1
_symmetry_space_group_name_Hall 'P 1'
_cell_length_a 2.946
_cell_length_b 2.946
_cell_length_c 12.268
_cell_angle_alpha 90.00
_cell_angle_beta 90.00
_cell_angle_gamma 90.00
loop_
_atom_site_label
_atom_site_fract_x
_atom_site_fract_y
_atom_site_fract_z
Ti1 0.000 0.000 0.136
Ti2 0.000 0.000 0.864
Ti3 0.000 0.000 0.379
Ti4 0.000 0.000 0.621
Cu1 0.500 0.500 0.000
Fe1 0.500 0.500 0.743
Fe2 0.500 0.500 0.500
Fe3 0.500 0.500 0.257
```

Compound: Ac2AlTe4
Source: the Alexandria database
Functional: GGA-PBE
Structure: optimized geometry

Properties
- raw formation energy (meV/atom) = -1121
- N(E_F) (states/eV/cell) = 3.829

```
data_Ac2AlTe4
_symmetry_space_group_name_H-M 'P 1'
_symmetry_Int_Tables_number 1
_symmetry_space_group_name_Hall 'P 1'
_cell_length_a 7.433
_cell_length_b 7.441
_cell_length_c 9.202
_cell_angle_alpha 90.00
_cell_angle_beta 107.82
_cell_angle_gamma 90.00
loop_
_atom_site_label
_atom_site_fract_x
_atom_site_fract_y
_atom_site_fract_z
Te1 0.098 0.750 0.424
Te2 0.505 0.995 0.758
Te3 0.915 0.250 0.127
Te4 0.495 0.495 0.242
Te5 0.085 0.750 0.873
Te6 0.902 0.250 0.576
Te7 0.505 0.505 0.758
Te8 0.495 0.005 0.242
Ac1 0.271 0.250 0.448
Ac2 0.729 0.750 0.552
Ac3 0.759 0.750 0.069
Ac4 0.241 0.250 0.931
Al1 0.765 0.250 0.818
Al2 0.235 0.750 0.182
```

Compound: DyHo3Th
Source: the Alexandria database
Functional: GGA-PBE
Structure: optimized geometry

Properties
- ΔE_f (eV/atom) = 0.0266
- energy above the lowest structure with this stoichiometry (eV per atom) = 0.000
- N(E_F) (states/eV/cell) = 15.929

```
data_DyHo3Th
_symmetry_space_group_name_H-M 'P 1'
_symmetry_Int_Tables_number 1
_symmetry_space_group_name_Hall 'P 1'
_cell_length_a 6.235
_cell_length_b 9.513
_cell_length_c 8.446
_cell_angle_alpha 118.88
_cell_angle_beta 111.86
_cell_angle_gamma 109.11
loop_
_atom_site_label
_atom_site_fract_x
_atom_site_fract_y
_atom_site_fract_z
Ho1 0.659 0.248 0.749
Ho2 0.733 0.556 0.254
Ho3 0.130 0.342 0.245
Ho4 0.341 0.752 0.251
Ho5 0.267 0.444 0.746
Ho6 0.870 0.658 0.755
Th1 0.075 0.054 0.751
Th2 0.925 0.946 0.249
Dy1 0.463 0.845 0.745
Dy2 0.537 0.155 0.255
```

Compound: Rb2Ce2HoSe6
Source: the Alexandria database
Functional: GGA-PBE
Structure: optimized geometry

Properties
- raw formation energy (meV/atom) = -1714
- N(E_F) (states/eV/cell) = 6.220

```
data_Rb2Ce2HoSe6
_symmetry_space_group_name_H-M 'P 1'
_symmetry_Int_Tables_number 1
_symmetry_space_group_name_Hall 'P 1'
_cell_length_a 7.377
_cell_length_b 7.377
_cell_length_c 8.505
_cell_angle_alpha 98.32
_cell_angle_beta 98.32
_cell_angle_gamma 119.86
loop_
_atom_site_label
_atom_site_fract_x
_atom_site_fract_y
_atom_site_fract_z
Se1 0.263 0.263 0.309
Se2 0.607 0.937 0.309
Se3 0.737 0.737 0.691
Se4 0.937 0.607 0.309
Se5 0.063 0.393 0.691
Se6 0.393 0.063 0.691
Ho1 0.000 0.000 0.500
Ce1 0.334 0.666 0.500
Ce2 0.666 0.334 0.500
Rb1 0.167 0.833 0.000
Rb2 0.833 0.167 0.000
```

Compound: ScTl3Sn
Source: the Alexandria database
Functional: GGA-PBE
Structure: optimized geometry

Properties
- ΔE_f (eV/atom) = 0.4240
- energy above the lowest structure with this stoichiometry (eV per atom) = 0.000
- N(E_F) (states/eV/cell) = 4.364

```
data_ScTl3Sn
_symmetry_space_group_name_H-M 'P 1'
_symmetry_Int_Tables_number 1
_symmetry_space_group_name_Hall 'P 1'
_cell_length_a 5.601
_cell_length_b 5.601
_cell_length_c 5.601
_cell_angle_alpha 90.00
_cell_angle_beta 90.00
_cell_angle_gamma 90.00
loop_
_atom_site_label
_atom_site_fract_x
_atom_site_fract_y
_atom_site_fract_z
Sc1 0.000 0.000 0.000
Tl1 0.500 0.000 0.000
Tl2 0.000 0.000 0.500
Tl3 0.000 0.500 0.000
Sn1 0.500 0.500 0.500
```

Compound: PmYMn17
Source: the Alexandria database
Functional: GGA-PBE
Structure: optimized geometry

Properties
- ΔE_f (eV/atom) = 0.0239
- N(E_F) (states/eV/cell) = 18.353

```
data_PmYMn17
_symmetry_space_group_name_H-M 'P 1'
_symmetry_Int_Tables_number 1
_symmetry_space_group_name_Hall 'P 1'
_cell_length_a 6.349
_cell_length_b 6.349
_cell_length_c 6.349
_cell_angle_alpha 86.31
_cell_angle_beta 86.31
_cell_angle_gamma 86.31
loop_
_atom_site_label
_atom_site_fract_x
_atom_site_fract_y
_atom_site_fract_z
Mn1 0.001 0.500 0.001
Mn2 0.274 0.726 0.001
Mn3 0.001 0.001 0.500
Mn4 0.726 0.001 0.274
Mn5 0.877 0.354 0.354
Mn6 0.001 0.274 0.726
Mn7 0.354 0.354 0.877
Mn8 0.100 0.100 0.100
Mn9 0.123 0.645 0.645
Mn10 0.001 0.726 0.274
Mn11 0.901 0.901 0.901
Mn12 0.726 0.274 0.001
Mn13 0.274 0.001 0.726
Mn14 0.354 0.877 0.354
Mn15 0.500 0.001 0.001
Mn16 0.645 0.123 0.645
Mn17 0.645 0.645 0.123
Pm1 0.644 0.644 0.644
Y1 0.354 0.354 0.354
```

Compound: PmTlNiHg
Source: the Alexandria database
Functional: GGA-PBE
Structure: optimized geometry

Properties
- ΔE_f (eV/atom) = -0.1222
- N(E_F) (states/eV/cell) = 3.543

```
data_PmTlNiHg
_symmetry_space_group_name_H-M 'P 1'
_symmetry_Int_Tables_number 1
_symmetry_space_group_name_Hall 'P 1'
_cell_length_a 5.024
_cell_length_b 5.024
_cell_length_c 5.024
_cell_angle_alpha 60.00
_cell_angle_beta 60.00
_cell_angle_gamma 60.00
loop_
_atom_site_label
_atom_site_fract_x
_atom_site_fract_y
_atom_site_fract_z
Pm1 0.500 0.500 0.500
Ni1 0.250 0.250 0.250
Hg1 0.750 0.750 0.750
Tl1 0.000 0.000 0.000
```

Compound: Tb3Pm5Nd3
Source: the Alexandria database
Functional: GGA-PBE
Structure: optimized geometry

Properties
- ΔE_f (eV/atom) = 0.0142
- energy above the lowest structure with this stoichiometry (eV per atom) = 0.000
- N(E_F) (states/eV/cell) = 15.846

```
data_Tb3Pm5Nd3
_symmetry_space_group_name_H-M 'P 1'
_symmetry_Int_Tables_number 1
_symmetry_space_group_name_Hall 'P 1'
_cell_length_a 6.287
_cell_length_b 8.144
_cell_length_c 9.620
_cell_angle_alpha 126.36
_cell_angle_beta 109.11
_cell_angle_gamma 82.48
loop_
_atom_site_label
_atom_site_fract_x
_atom_site_fract_y
_atom_site_fract_z
Pm1 0.274 0.634 0.272
Pm2 0.001 0.000 0.181
Pm3 0.363 0.182 0.637
Pm4 0.636 0.819 0.728
Pm5 0.727 0.362 0.090
Tb1 0.182 0.090 0.911
Tb2 0.545 0.272 0.362
Tb3 0.454 0.730 0.001
Nd1 0.818 0.910 0.454
Nd2 0.091 0.544 0.546
Nd3 0.908 0.456 0.819
```

Compound: Cs3BiF8
Source: the Alexandria database
Functional: GGA-PBE
Structure: optimized geometry

Properties
- raw formation energy (meV/atom) = -2434

```
data_Cs3BiF8
_symmetry_space_group_name_H-M 'P 1'
_symmetry_Int_Tables_number 1
_symmetry_space_group_name_Hall 'P 1'
_cell_length_a 7.147
_cell_length_b 9.229
_cell_length_c 9.229
_cell_angle_alpha 120.00
_cell_angle_beta 90.00
_cell_angle_gamma 90.00
loop_
_atom_site_label
_atom_site_fract_x
_atom_site_fract_y
_atom_site_fract_z
F1 0.523 0.869 0.435
F2 0.291 0.206 0.413
F3 0.291 0.206 0.794
F4 0.023 0.435 0.869
F5 0.508 0.333 0.667
F6 0.023 0.435 0.565
F7 0.971 0.000 0.000
F8 0.791 0.794 0.206
F9 0.471 0.000 0.000
F10 0.291 0.587 0.794
F11 0.008 0.667 0.333
F12 0.523 0.565 0.435
F13 0.023 0.131 0.565
F14 0.791 0.413 0.206
F15 0.791 0.794 0.587
F16 0.523 0.565 0.131
Cs1 0.714 0.158 0.315
Cs2 0.714 0.685 0.842
Cs3 0.214 0.842 0.685
Cs4 0.214 0.842 0.158
Cs5 0.214 0.315 0.158
Cs6 0.714 0.158 0.842
Bi1 0.711 0.667 0.333
Bi2 0.211 0.333 0.667
```

Compound: NaMg2Br
Source: the Alexandria database
Functional: GGA-PBE
Structure: optimized geometry

Properties
- energy above the lowest structure with this stoichiometry (eV per atom) = 0.339
- raw formation energy (meV/atom) = 52
- N(E_F) (states/eV/cell) = 3.408

```
data_NaMg2Br
_symmetry_space_group_name_H-M 'P 1'
_symmetry_Int_Tables_number 1
_symmetry_space_group_name_Hall 'P 1'
_cell_length_a 5.649
_cell_length_b 5.649
_cell_length_c 5.649
_cell_angle_alpha 60.00
_cell_angle_beta 60.00
_cell_angle_gamma 60.00
loop_
_atom_site_label
_atom_site_fract_x
_atom_site_fract_y
_atom_site_fract_z
Mg1 0.750 0.750 0.750
Mg2 0.250 0.250 0.250
Br1 0.500 0.500 0.500
Na1 0.000 0.000 0.000
```

Compound: Pm2Y6Tm3Th
Source: the Alexandria database
Functional: GGA-PBE
Structure: optimized geometry

Properties
- ΔE_f (eV/atom) = 0.0344
- N(E_F) (states/eV/cell) = 17.619

```
data_Pm2Y6Tm3Th
_symmetry_space_group_name_H-M 'P 1'
_symmetry_Int_Tables_number 1
_symmetry_space_group_name_Hall 'P 1'
_cell_length_a 6.186
_cell_length_b 6.186
_cell_length_c 11.800
_cell_angle_alpha 95.01
_cell_angle_beta 95.01
_cell_angle_gamma 119.94
loop_
_atom_site_label
_atom_site_fract_x
_atom_site_fract_y
_atom_site_fract_z
Y1 0.585 0.915 0.748
Y2 0.755 0.755 0.252
Y3 0.915 0.585 0.748
Y4 0.415 0.085 0.252
Y5 0.085 0.415 0.252
Y6 0.245 0.245 0.748
Th1 0.000 0.000 0.000
Pm1 0.667 0.333 0.000
Pm2 0.333 0.667 0.000
Tm1 0.833 0.167 0.500
Tm2 0.167 0.833 0.500
Tm3 0.500 0.500 0.500
```

Compound: CoAg3Br
Source: the Alexandria database
Functional: GGA-PBE
Structure: optimized geometry

Properties
- raw formation energy (meV/atom) = 793
- N(E_F) (states/eV/cell) = 6.712

```
data_CoAg3Br
_symmetry_space_group_name_H-M 'P 1'
_symmetry_Int_Tables_number 1
_symmetry_space_group_name_Hall 'P 1'
_cell_length_a 4.906
_cell_length_b 4.906
_cell_length_c 4.906
_cell_angle_alpha 90.00
_cell_angle_beta 90.00
_cell_angle_gamma 90.00
loop_
_atom_site_label
_atom_site_fract_x
_atom_site_fract_y
_atom_site_fract_z
Br1 0.500 0.500 0.500
Ag1 0.500 0.000 0.000
Ag2 0.000 0.500 0.000
Ag3 0.000 0.000 0.500
Co1 0.000 0.000 0.000
```

Compound: SbPS4Br
Source: the Alexandria database
Functional: GGA-PBE
Structure: optimized geometry

Properties
- raw formation energy (meV/atom) = -126
- N(E_F) (states/eV/cell) = 2.525

```
data_SbPS4Br
_symmetry_space_group_name_H-M 'P 1'
_symmetry_Int_Tables_number 1
_symmetry_space_group_name_Hall 'P 1'
_cell_length_a 7.593
_cell_length_b 7.593
_cell_length_c 8.854
_cell_angle_alpha 80.18
_cell_angle_beta 80.18
_cell_angle_gamma 82.43
loop_
_atom_site_label
_atom_site_fract_x
_atom_site_fract_y
_atom_site_fract_z
S1 0.859 0.533 0.815
S2 0.449 0.449 0.745
S3 0.533 0.859 0.815
S4 0.141 0.467 0.185
S5 0.312 0.312 0.519
S6 0.551 0.551 0.255
S7 0.688 0.688 0.481
S8 0.467 0.141 0.185
P1 0.628 0.628 0.710
P2 0.372 0.372 0.290
Sb1 0.204 0.204 0.043
Sb2 0.796 0.796 0.957
Br1 0.998 0.998 0.235
Br2 0.002 0.002 0.765
```

Compound: Rb2NaVCl6
Source: the Alexandria database
Functional: GGA-PBE
Structure: optimized geometry

Properties
- raw formation energy (meV/atom) = -1658
- N(E_F) (states/eV/cell) = 16.399

```
data_Rb2NaVCl6
_symmetry_space_group_name_H-M 'P 1'
_symmetry_Int_Tables_number 1
_symmetry_space_group_name_Hall 'P 1'
_cell_length_a 7.302
_cell_length_b 7.302
_cell_length_c 7.302
_cell_angle_alpha 60.00
_cell_angle_beta 60.00
_cell_angle_gamma 60.00
loop_
_atom_site_label
_atom_site_fract_x
_atom_site_fract_y
_atom_site_fract_z
Cl1 0.232 0.768 0.232
Cl2 0.768 0.232 0.768
Cl3 0.232 0.768 0.768
Cl4 0.768 0.768 0.232
Cl5 0.768 0.232 0.232
Cl6 0.232 0.232 0.768
V1 0.000 0.000 0.000
Rb1 0.250 0.250 0.250
Rb2 0.750 0.750 0.750
Na1 0.500 0.500 0.500
```

Compound: BaGaSn4
Source: the Alexandria database
Functional: GGA-PBE
Structure: optimized geometry

Properties
- ΔE_f (eV/atom) = -0.2040
- energy above the lowest structure with this stoichiometry (eV per atom) = 0.000
- N(E_F) (states/eV/cell) = 3.088

```
data_BaGaSn4
_symmetry_space_group_name_H-M 'P 1'
_symmetry_Int_Tables_number 1
_symmetry_space_group_name_Hall 'P 1'
_cell_length_a 6.351
_cell_length_b 6.351
_cell_length_c 6.351
_cell_angle_alpha 60.00
_cell_angle_beta 60.00
_cell_angle_gamma 60.00
loop_
_atom_site_label
_atom_site_fract_x
_atom_site_fract_y
_atom_site_fract_z
Sn1 0.624 0.624 0.127
Sn2 0.127 0.624 0.624
Sn3 0.624 0.127 0.624
Sn4 0.624 0.624 0.624
Ga1 0.250 0.250 0.250
Ba1 0.000 0.000 0.000
```

Compound: ScBeRe4
Source: the Alexandria database
Functional: GGA-PBE
Structure: optimized geometry

Properties
- ΔE_f (eV/atom) = 0.2126
- N(E_F) (states/eV/cell) = 2.655

```
data_ScBeRe4
_symmetry_space_group_name_H-M 'P 1'
_symmetry_Int_Tables_number 1
_symmetry_space_group_name_Hall 'P 1'
_cell_length_a 5.202
_cell_length_b 5.202
_cell_length_c 5.202
_cell_angle_alpha 60.00
_cell_angle_beta 60.00
_cell_angle_gamma 60.00
loop_
_atom_site_label
_atom_site_fract_x
_atom_site_fract_y
_atom_site_fract_z
Be1 0.000 0.000 0.000
Sc1 0.750 0.750 0.750
Re1 0.375 0.375 0.876
Re2 0.375 0.375 0.375
Re3 0.876 0.375 0.375
Re4 0.375 0.876 0.375
```

Compound: BaSc2GaTc
Source: the Alexandria database
Functional: GGA-PBE
Structure: optimized geometry

Properties
- ΔE_f (eV/atom) = 0.3616
- N(E_F) (states/eV/cell) = 5.790

```
data_BaSc2GaTc
_symmetry_space_group_name_H-M 'P 1'
_symmetry_Int_Tables_number 1
_symmetry_space_group_name_Hall 'P 1'
_cell_length_a 5.080
_cell_length_b 5.726
_cell_length_c 5.080
_cell_angle_alpha 90.00
_cell_angle_beta 90.00
_cell_angle_gamma 90.00
loop_
_atom_site_label
_atom_site_fract_x
_atom_site_fract_y
_atom_site_fract_z
Sc1 0.500 0.000 0.000
Sc2 0.000 0.000 0.500
Ba1 0.000 0.500 0.000
Tc1 0.000 0.000 0.000
Ga1 0.500 0.500 0.500
```

Compound: Ho2PuRh9
Source: the Alexandria database
Functional: GGA-PBE
Structure: optimized geometry

Properties
- ΔE_f (eV/atom) = -0.5037
- N(E_F) (states/eV/cell) = 18.232

```
data_Ho2PuRh9
_symmetry_space_group_name_H-M 'P 1'
_symmetry_Int_Tables_number 1
_symmetry_space_group_name_Hall 'P 1'
_cell_length_a 5.250
_cell_length_b 5.250
_cell_length_c 9.277
_cell_angle_alpha 73.56
_cell_angle_beta 73.56
_cell_angle_gamma 60.00
loop_
_atom_site_label
_atom_site_fract_x
_atom_site_fract_y
_atom_site_fract_z
Rh1 0.500 0.500 0.500
Rh2 0.416 0.416 0.250
Rh3 0.584 0.082 0.750
Rh4 0.416 0.918 0.250
Rh5 0.333 0.333 0.000
Rh6 0.082 0.584 0.750
Rh7 0.584 0.584 0.750
Rh8 0.918 0.416 0.250
Rh9 0.667 0.667 0.000
Pu1 0.000 0.000 0.000
Ho1 0.861 0.861 0.417
Ho2 0.139 0.139 0.583
```

Compound: HfNiGe2
Source: the Alexandria database
Functional: GGA-PBE
Structure: optimized geometry

Properties
- ΔE_f (eV/atom) = -0.5208
- N(E_F) (states/eV/cell) = 4.170

```
data_HfNiGe2
_symmetry_space_group_name_H-M 'P 1'
_symmetry_Int_Tables_number 1
_symmetry_space_group_name_Hall 'P 1'
_cell_length_a 3.840
_cell_length_b 3.840
_cell_length_c 8.736
_cell_angle_alpha 90.00
_cell_angle_beta 90.00
_cell_angle_gamma 90.00
loop_
_atom_site_label
_atom_site_fract_x
_atom_site_fract_y
_atom_site_fract_z
Hf1 0.500 0.000 0.748
Hf2 0.000 0.500 0.252
Ge1 0.000 0.500 0.834
Ge2 0.500 0.000 0.166
Ge3 0.000 0.000 0.500
Ge4 0.500 0.500 0.500
Ni1 0.000 0.000 0.000
Ni2 0.500 0.500 0.000
```

Values of V, in order: 17.9 13.3 34.6 31.8 34.9 35.1 13.4 22.4 34.0 22.0 31.9 32.1 23.6 35.2 27.5 30.2 16.6 29.6 17.4 16.1, all in A^3/atom.